NaSiAgTe3: relaxed, PBE.

Cell lengths 8.4267, 4.3374, 10.3804 Å; angles 90.00, 107.51, 90.00 degrees
Space group P2_1/m (No. 11)
Inequivalent atoms, fractional coordinates:
1 Na 0.2243 0.2500 0.2006 [2 per cell]
2 Si 0.1584 0.2500 0.6511 [2 per cell]
3 Ag 0.3937 0.7500 0.9290 [2 per cell]
4 Te 0.0716 0.2500 0.8635 [2 per cell]
5 Te 0.1848 0.7500 0.5115 [2 per cell]
6 Te 0.4907 0.2500 0.7806 [2 per cell]

Computed properties:
Crystal system   monoclinic
Total magnetic moment   0.00 μB per formula unit
E_form (uncorrected)   -0.163 eV/atom


ErBC: relaxed, PBE.

Cell lengths 6.9342, 3.3833, 6.3655 Å; angles 90.00, 90.00, 90.00 degrees
Space group Pnma (No. 62)
Inequivalent atoms, fractional coordinates:
1 Er 0.1693 0.2500 0.1557 [4 per cell]
2 B 0.0240 0.2500 0.5728 [4 per cell]
3 C 0.0887 0.2500 0.7944 [4 per cell]

Computed properties:
Crystal system   orthorhombic
Total magnetic moment   0.00 μB per formula unit
DFT formation energy   -450 meV per atom
Offset from the most stable computed form   0 meV per atom


PrDy2Er4Tm: relaxed, PBE.

Cell lengths 13.5184, 13.2189, 6.7579 Å; angles 90.00, 119.99, 90.00 degrees
Space group C2/c (No. 15)
Inequivalent atoms, fractional coordinates:
1 Pr 0.2500 0.2500 0.0000 [4 per cell]
2 Dy 0.0000 0.0000 0.0000 [4 per cell]
3 Dy 0.2500 0.2500 0.5000 [4 per cell]
4 Er 0.9997 0.2519 0.0011 [8 per cell]
5 Er 0.2483 0.4990 0.4995 [8 per cell]
6 Tm 0.0000 0.5000 0.0000 [4 per cell]

Computed properties:
Crystal system   monoclinic
Total magnetic moment   2.68 μB per formula unit
DFT formation energy   441 meV per atom


Tm2PaCu9: relaxed, PBE.

Cell lengths 5.1492, 5.1492, 24.5606 Å; angles 90.00, 90.00, 120.00 degrees
Space group R-3m (No. 166, hexagonal axes)
Inequivalent atoms, fractional coordinates:
1 Tm 0.0000 0.0000 0.1430 [6 per cell]
2 Pa 0.0000 0.0000 0.0000 [3 per cell]
3 Cu 0.0000 0.0000 0.3322 [6 per cell]
4 Cu 0.0000 0.0000 0.5000 [3 per cell]
5 Cu 0.0007 0.5004 0.0824 [18 per cell]

Computed properties:
Crystal system   trigonal
Total magnetic moment   0.16 μB per formula unit
DFT formation energy   -129 meV per atom


Mg2MnFe: relaxed, PBE.

Cell lengths 5.6296, 7.9521, 2.8195 Å; angles 90.00, 90.00, 90.00 degrees
Space group Cmmm (No. 65)
Inequivalent atoms, fractional coordinates:
1 Mg 0.2500 0.2500 0.0000 [4 per cell]
2 Mn 0.0000 0.0000 0.5000 [2 per cell]
3 Fe 0.0000 0.5000 0.5000 [2 per cell]

Computed properties:
Crystal system   orthorhombic
Total magnetic moment   5.45 μB per formula unit
DFT formation energy   291 meV per atom
Offset from the most stable computed form   110 meV per atom


SrCaSc2: relaxed, PBE.

Cell lengths 8.9677, 8.9677, 6.6671 Å; angles 90.00, 90.00, 90.00 degrees
Space group I-42d (No. 122)
Inequivalent atoms, fractional coordinates:
1 Sr 0.0000 0.0000 0.0000 [4 per cell]
2 Ca 0.0000 0.0000 0.5000 [4 per cell]
3 Sc 0.2438 0.2500 0.6250 [8 per cell]

Computed properties:
Crystal system   tetragonal
Total magnetic moment   1.48 μB per formula unit
DFT formation energy   607 meV per atom
Offset from the most stable computed form   443 meV per atom